No. 1
Density functional theory data (PBE-GGA) for crystalline CsRb3Al at its relaxed geometry.

## Properties
Space group: Pm-3m, No. 221
Polymorph energy (0 for the lowest one) in meV per atom: 526

Lattice parameters (Å, degrees): 8.075 8.075 8.075 90.00 90.00 90.00
Fractional coordinates of all 5 atoms:
Cs1 0.000 0.000 0.000
Rb1 0.000 0.000 0.500
Rb2 0.000 0.500 0.000
Rb3 0.500 0.000 0.000
Al1 0.500 0.500 0.500

---

No. 2
Density functional theory data (PBE-GGA) for crystalline Nd6Dy12Tl at its relaxed geometry.

## Properties
Space group: R-3, No. 148
DFT total energy in eV/cell: -84.66

Lattice parameters (Å, degrees): 8.529 8.529 8.529 89.07 89.07 89.07
Fractional coordinates of all 19 atoms:
Nd1 0.196 0.593 0.760
Nd2 0.240 0.804 0.407
Nd3 0.407 0.240 0.804
Nd4 0.593 0.760 0.196
Nd5 0.760 0.196 0.593
Nd6 0.804 0.407 0.240
Dy1 0.039 0.277 0.935
Dy2 0.065 0.961 0.723
Dy3 0.141 0.312 0.487
Dy4 0.277 0.935 0.039
Dy5 0.312 0.487 0.141
Dy6 0.487 0.141 0.312
Dy7 0.513 0.859 0.688
Dy8 0.688 0.513 0.859
Dy9 0.723 0.065 0.961
Dy10 0.859 0.688 0.513
Dy11 0.935 0.039 0.277
Dy12 0.961 0.723 0.065
Tl1 0.500 0.500 0.500

---

No. 3
Density functional theory data (PBE-GGA) for crystalline Tb4Nd5Dy2 at its relaxed geometry.

## Properties
Space group: Immm, No. 71
Polymorph energy (0 for the lowest one) in meV per atom: 131

Lattice parameters (Å, degrees): 12.774 12.774 12.774 164.10 137.71 45.45
Fractional coordinates of all 11 atoms:
Tb1 0.097 0.097 0.000
Tb2 0.190 0.500 0.690
Tb3 0.810 0.500 0.310
Tb4 0.903 0.903 0.000
Nd1 0.151 0.353 0.798
Nd2 0.446 0.647 0.798
Nd3 0.500 0.000 0.500
Nd4 0.554 0.353 0.202
Nd5 0.849 0.647 0.202
Dy1 0.230 0.230 0.000
Dy2 0.770 0.770 0.000

---

No. 4
Density functional theory data (PBE-GGA) for crystalline Ce2HgIr at its relaxed geometry.

## Properties
Space group: P4/mmm, No. 123
Polymorph energy (0 for the lowest one) in meV per atom: 19

Lattice parameters (Å, degrees): 3.689 3.689 7.128 90.00 90.00 90.00
Fractional coordinates of all 4 atoms:
Ce1 0.000 0.000 0.208
Ce2 0.000 0.000 0.792
Hg1 0.500 0.500 0.500
Ir1 0.500 0.500 0.000

---

So what do the calculations give for size of the total moment? Going down the list: 0.7; 0.0; 0.0; 1.1 μB/f.u..